<P>
A relaxed MnRe2Ag crystal. Source: Alexandria, functional PBE.

Values from the calculation:
Crystal system ... tetragonal
V ... 59.8 Å³/f.u.
ρ ... 14.86 g/cm³

```
data_MnRe2Ag
_chemical_formula_sum 'Mn1 Re2 Ag1'
_space_group_name_H-M_alt 'P 4/m m m'
_space_group_IT_number 123
_space_group_name_Hall '-P 4 2'
_cell_length_a 3.782
_cell_length_b 3.782
_cell_length_c 4.181
_cell_angle_alpha 90.00
_cell_angle_beta 90.00
_cell_angle_gamma 90.00
loop_
_atom_site_label
_atom_site_fract_x
_atom_site_fract_y
_atom_site_fract_z
Mn1 0.000 0.000 0.000
Re1 0.000 0.500 0.500
Ag1 0.500 0.500 0.000
```

=====

<Q>
A relaxed MnRe2Ag crystal. Source: Alexandria, functional PBE.

Values from the calculation:
Crystal system ... tetragonal
V ... 64.2 Å³/f.u.
ρ ... 13.85 g/cm³

```
data_MnRe2Ag
_chemical_formula_sum 'Mn4 Re8 Ag4'
_space_group_name_H-M_alt 'I -4 2 d'
_space_group_IT_number 122
_space_group_name_Hall 'I -4 2bw'
_cell_length_a 7.064
_cell_length_b 7.064
_cell_length_c 5.142
_cell_angle_alpha 90.00
_cell_angle_beta 90.00
_cell_angle_gamma 90.00
loop_
_atom_site_label
_atom_site_fract_x
_atom_site_fract_y
_atom_site_fract_z
Mn1 0.000 0.000 0.000
Re1 0.190 0.750 0.125
Ag1 0.000 0.000 0.500
```

=====

Ranked by calculated energy, most stable first: <P>, <Q>.

=====

<P>
A relaxed Mn2ReAg crystal. Source: Alexandria, functional PBE.

Values from the calculation:
Crystal system ... orthorhombic
V ... 58.1 Å³/f.u.
ρ ... 11.54 g/cm³

```
data_Mn2ReAg
_chemical_formula_sum 'Mn4 Re2 Ag2'
_space_group_name_H-M_alt 'C m m m'
_space_group_IT_number 65
_space_group_name_Hall '-C 2 2'
_cell_length_a 5.757
_cell_length_b 7.180
_cell_length_c 2.813
_cell_angle_alpha 90.00
_cell_angle_beta 90.00
_cell_angle_gamma 90.00
loop_
_atom_site_label
_atom_site_fract_x
_atom_site_fract_y
_atom_site_fract_z
Mn1 0.250 0.250 0.000
Re1 0.000 0.000 0.500
Ag1 0.000 0.500 0.500
```

=====

<Q>
A relaxed Mn2ReAg crystal. Source: Alexandria, functional PBE.

Values from the calculation:
Crystal system ... tetragonal
V ... 62.5 Å³/f.u.
ρ ... 10.73 g/cm³

```
data_Mn2ReAg
_chemical_formula_sum 'Mn8 Re4 Ag4'
_space_group_name_H-M_alt 'I -4 2 d'
_space_group_IT_number 122
_space_group_name_Hall 'I -4 2bw'
_cell_length_a 6.800
_cell_length_b 6.800
_cell_length_c 5.407
_cell_angle_alpha 90.00
_cell_angle_beta 90.00
_cell_angle_gamma 90.00
loop_
_atom_site_label
_atom_site_fract_x
_atom_site_fract_y
_atom_site_fract_z
Mn1 0.217 0.250 0.125
Re1 0.000 0.000 0.000
Ag1 0.000 0.000 0.500
```

=====

Ranked by calculated energy, most stable first: <P>, <Q>.